1.
BeNbPd: relaxed, PBE.

Computed properties:
ΔE to the lowest computed polymorph (eV per atom): 0.000
Crystal system: monoclinic
ΔE_f (eV per atom): -0.35

Cell: 3.398 6.542 11.167 Å, 89.61 90.00 90.00°
Atoms (fractional coordinates):
Nb  0.250  0.978  0.710
Nb  0.750  0.643  0.077
Nb  0.250  0.468  0.612
Nb  0.750  0.532  0.388
Nb  0.750  0.022  0.290
Nb  0.250  0.357  0.923
Be  0.250  0.241  0.412
Be  0.250  0.762  0.920
Be  0.750  0.238  0.080
Be  0.750  0.759  0.588
Be  0.250  0.724  0.250
Be  0.750  0.276  0.750
Pd  0.250  0.988  0.097
Pd  0.750  0.149  0.543
Pd  0.750  0.012  0.903
Pd  0.250  0.364  0.207
Pd  0.750  0.636  0.793
Pd  0.250  0.851  0.457


2.
Mg2SbRh: relaxed, PBE.

Computed properties:
Electronic total energy (eV per atom): -3.829
Crystal system: tetragonal

Cell: 9.976 9.976 7.475 Å, 48.14 48.14 90.00°
Atoms (fractional coordinates):
Rh  0.250  0.750  0.500
Rh  0.500  0.500  0.000
Mg  0.375  0.624  0.750
Mg  0.875  0.626  0.750
Mg  0.374  0.625  0.250
Mg  0.376  0.125  0.250
Sb  0.750  0.250  0.500
Sb  0.000  0.000  0.000